(1)
This record from Alexandria via LeMat-Bulk describes an optimized crystal structure of TmHg3Pb. The functional is PBE.

Calculated values
For the formation energy, the calculation gives -3.5 kcal/mol of atoms. The spin magnetization is 0.000 μB/f.u. The energy above the lowest structure with this stoichiometry comes out at 0 meV per atom. The symmetry is Cmcm, No. 63.

Unit cell a=5.657 b=6.307 c=8.525 alpha=111.71 beta=90.00 gamma=90.00
Element x y z (fractional)
Tm 0.750 0.180 0.359
Tm 0.250 0.820 0.641
Hg 0.750 0.598 0.680
Hg 0.750 0.081 0.680
Hg 0.250 0.919 0.320
Hg 0.250 0.402 0.320
Hg 0.000 0.000 0.000
Hg 0.500 0.000 0.000
Pb 0.750 0.632 0.263
Pb 0.250 0.368 0.737

=====

(2)
This record from Alexandria via LeMat-Bulk describes an optimized crystal structure of Tb2Pr2SmDy2. The functional is PBE.

Calculated values
For the formation energy, the calculation gives 2.0 kcal/mol of atoms. The spin magnetization is 0.000 μB/f.u. The symmetry is C2/m, No. 12.

Unit cell a=3.547 b=6.174 c=11.952 alpha=71.58 beta=90.00 gamma=106.69
Element x y z (fractional)
Tb 0.449 0.898 0.769
Tb 0.551 0.102 0.231
Pr 0.670 0.340 0.916
Pr 0.330 0.660 0.084
Sm 0.000 0.000 0.500
Dy 0.775 0.550 0.364
Dy 0.225 0.450 0.636

=====

Values of D(E_F), in order: 5.2 12.0, all in states/eV/cell.